## CoPdN2F (PBE+U)

Data for an optimized crystal structure of CoPdN2F.

Values from the calculation:
As for the space group: P4/mmm (123). The energy above the lowest structure with this stoichiometry is 355.2 meV per atom. The calculation puts the density of states at the Fermi level at 0.845 states/eV/atom.

Structure (extended XYZ):
```
5
Lattice="-2.308 -2.989 -1.063 1.348 0.266 -3.675 3.151 -2.773 0.955" Properties=species:S:1:pos:R:3 pbc="T T T"
F 1.576 -1.386 0.478
Co 1.095 -2.748 -1.891
N -1.154 -1.495 -0.531
N 0.674 0.133 -1.838
Pd 0.000 0.000 0.000
```